# 1
Here is ScCrTcS2 after structural relaxation from the Alexandria database. Energies are from PBE.

## Properties
VASP energy: -6.52 eV per atom
ΔE_f (raw): 0.398 eV/atom

a b c (Å): 4.6326 4.9198 4.6326
angles (deg): 90.00 90.00 90.00
Fractional positions:
Sc 0.0000 0.5000 0.0000
Cr 0.5000 0.5000 0.5000
S 0.0000 0.0000 0.5000
S 0.5000 0.0000 0.0000
Tc 0.0000 0.0000 0.0000

---

# 2
Here is Y2ScCrS6 after structural relaxation from the Alexandria database. Energies are from PBE.

## Properties
VASP energy: -7.04 eV per atom
ΔE_f (raw): -1.676 eV/atom

a b c (Å): 6.3034 6.9011 9.2837
angles (deg): 90.00 91.46 90.00
Fractional positions:
Y 0.0411 0.8970 0.2457
Y 0.5411 0.6030 0.7457
Y 0.9589 0.1030 0.7543
Y 0.4589 0.3970 0.2543
Sc 0.5000 0.0000 0.0000
Sc 0.0000 0.5000 0.5000
Cr 0.5000 0.0000 0.5000
Cr 0.0000 0.5000 0.0000
S 0.3157 0.6795 0.0639
S 0.8157 0.8205 0.5639
S 0.6843 0.3205 0.9361
S 0.1843 0.1795 0.4361
S 0.3307 0.6928 0.4372
S 0.8307 0.8072 0.9372
S 0.6693 0.3072 0.5628
S 0.1693 0.1928 0.0628
S 0.8658 0.5365 0.2399
S 0.3658 0.9635 0.7399
S 0.1342 0.4635 0.7601
S 0.6342 0.0365 0.2601